The following is a DFT calculation (GGA-PBEsol) of a relaxed structure of CoSb3.

Structure (CIF):
```
data_CoSb3
_cell_length_a 5.705
_cell_length_b 5.705
_cell_length_c 5.705
_cell_angle_alpha 90.00
_cell_angle_beta 90.00
_cell_angle_gamma 90.00
_symmetry_space_group_name_H-M 'I m -3 m'
_symmetry_Int_Tables_number 229
_symmetry_space_group_name_Hall '-I 4 2 3'
loop_
_atom_site_label
_atom_site_fract_x
_atom_site_fract_y
_atom_site_fract_z
Co1 0.000 0.000 0.000
Sb1 0.000 0.000 0.500
```

The density of states at the Fermi level is 9.782 states/eV per cell. For the raw formation energy, the calculation gives 10.357 kcal/mol of atoms. The calculation puts the total energy at -39.23 eV per cell.

The following is a DFT calculation (GGA-PBEsol) of a relaxed structure of AgSb2Br.

Structure (CIF):
```
data_AgSb2Br
_cell_length_a 12.561
_cell_length_b 4.046
_cell_length_c 4.208
_cell_angle_alpha 90.00
_cell_angle_beta 90.06
_cell_angle_gamma 90.00
_symmetry_space_group_name_H-M 'C 1 m 1'
_symmetry_Int_Tables_number 8
loop_
_symmetry_equiv_pos_as_xyz
'x,y,z'
'x,-y,z'
'x+1/2,y+1/2,z'
'x+1/2,-y+1/2,z'
loop_
_atom_site_label
_atom_site_fract_x
_atom_site_fract_y
_atom_site_fract_z
Ag1 0.000 0.000 0.000
Sb1 0.006 0.500 0.500
Sb2 0.341 0.500 0.499
Br1 0.211 0.000 0.999
```

The density of states at the Fermi level is 2.935 states/eV per cell. For the raw formation energy, the calculation gives -1.169 kcal/mol of atoms. The calculation puts the total energy at -29.00 eV per cell.

The following is a DFT calculation (GGA-PBEsol) of a relaxed structure of FeNiS2N.

Structure (CIF):
```
data_FeNiS2N
_cell_length_a 4.485
_cell_length_b 4.485
_cell_length_c 3.282
_cell_angle_alpha 90.00
_cell_angle_beta 90.00
_cell_angle_gamma 90.00
_symmetry_space_group_name_H-M 'P 4/m m m'
_symmetry_Int_Tables_number 123
_symmetry_space_group_name_Hall '-P 4 2'
loop_
_atom_site_label
_atom_site_fract_x
_atom_site_fract_y
_atom_site_fract_z
Fe1 0.000 0.000 0.000
Ni1 0.500 0.500 0.500
S1 0.000 0.500 0.000
N1 0.000 0.000 0.500
```

The density of states at the Fermi level is 3.667 states/eV per cell. For the raw formation energy, the calculation gives 11.112 kcal/mol of atoms. The calculation puts the total energy at -30.01 eV per cell.

The following is a DFT calculation (GGA-PBEsol) of a relaxed structure of ScBeAl2.

Structure (CIF):
```
data_ScBeAl2
_cell_length_a 2.9495
_cell_length_b 2.9495
_cell_length_c 26.2583
_cell_angle_alpha 90.00
_cell_angle_beta 90.00
_cell_angle_gamma 120.00
_symmetry_space_group_name_H-M 'R 3 m'
_symmetry_Int_Tables_number 160
_symmetry_space_group_name_Hall 'R 3 -2"'
loop_
_atom_site_label
_atom_site_fract_x
_atom_site_fract_y
_atom_site_fract_z
Sc1 0.0000 0.0000 0.0000
Be1 0.0000 0.0000 0.7492
Al1 0.0000 0.0000 0.2399
Al2 0.0000 0.0000 0.4867
```

The density of states at the Fermi level is 10.278 states/eV per cell. As for the formation energy: 0.173 eV/atom. The calculation puts the total energy at -54.29 eV per cell.

The following is a DFT calculation (GGA-PBEsol) of a relaxed structure of FeTc2Os.

Structure (CIF):
```
data_FeTc2Os
_cell_length_a 5.991
_cell_length_b 5.991
_cell_length_c 5.991
_cell_angle_alpha 90.00
_cell_angle_beta 90.00
_cell_angle_gamma 90.00
_symmetry_space_group_name_H-M 'F -4 3 m'
_symmetry_Int_Tables_number 216
_symmetry_space_group_name_Hall 'F -4 2 3'
loop_
_atom_site_label
_atom_site_fract_x
_atom_site_fract_y
_atom_site_fract_z
Fe1 0.000 0.000 0.000
Tc1 0.000 0.000 0.500
Tc2 0.250 0.250 0.250
Os1 0.250 0.250 0.750
```

The density of states at the Fermi level is 18.871 states/eV per cell. As for the formation energy: 0.298 eV/atom. The calculation puts the total energy at -170.08 eV per cell.

The following is a DFT calculation (GGA-PBEsol) of a relaxed structure of Zr3Se4.

Structure (CIF):
```
data_Zr3Se4
_cell_length_a 7.712
_cell_length_b 10.516
_cell_length_c 3.715
_cell_angle_alpha 90.00
_cell_angle_beta 90.00
_cell_angle_gamma 90.00
_symmetry_space_group_name_H-M 'C m m m'
_symmetry_Int_Tables_number 65
_symmetry_space_group_name_Hall '-C 2 2'
loop_
_atom_site_label
_atom_site_fract_x
_atom_site_fract_y
_atom_site_fract_z
Zr1 0.000 0.000 0.000
Zr2 0.250 0.250 0.500
Se1 0.000 0.266 0.000
Se2 0.239 0.500 0.500
```

The density of states at the Fermi level is 6.744 states/eV per cell. For the raw formation energy, the calculation gives -31.428 kcal/mol of atoms. The calculation puts the total energy at -104.42 eV per cell.

The following is a DFT calculation (GGA-PBEsol) of a relaxed structure of NbRhO4.

Structure (CIF):
```
data_NbRhO4
_cell_length_a 6.532
_cell_length_b 6.611
_cell_length_c 3.094
_cell_angle_alpha 90.00
_cell_angle_beta 90.00
_cell_angle_gamma 90.00
_symmetry_space_group_name_H-M 'C m m m'
_symmetry_Int_Tables_number 65
_symmetry_space_group_name_Hall '-C 2 2'
loop_
_atom_site_label
_atom_site_fract_x
_atom_site_fract_y
_atom_site_fract_z
Nb1 0.000 0.000 0.000
Rh1 0.000 0.500 0.500
O1 0.000 0.198 0.500
O2 0.194 0.500 0.000
```

The density of states at the Fermi level is 4.024 states/eV per cell. For the raw formation energy, the calculation gives -40.353 kcal/mol of atoms. The calculation puts the total energy at -100.91 eV per cell.

The following is a DFT calculation (GGA-PBEsol) of a relaxed structure of ZnCu2HgW.

Structure (CIF):
```
data_ZnCu2HgW
_cell_length_a 4.270
_cell_length_b 4.270
_cell_length_c 4.622
_cell_angle_alpha 90.00
_cell_angle_beta 90.00
_cell_angle_gamma 90.00
_symmetry_space_group_name_H-M 'P 4/m m m'
_symmetry_Int_Tables_number 123
_symmetry_space_group_name_Hall '-P 4 2'
loop_
_atom_site_label
_atom_site_fract_x
_atom_site_fract_y
_atom_site_fract_z
Zn1 0.000 0.000 0.000
Cu1 0.000 0.500 0.000
Hg1 0.000 0.000 0.500
W1 0.500 0.500 0.500
```

The density of states at the Fermi level is 2.361 states/eV per cell. As for the formation energy: 1.410 eV/atom. The calculation puts the total energy at -17.57 eV per cell.